Entry 1:
This record from Alexandria via LeMat-Bulk describes an optimized crystal structure of Sm4InRh. The functional is PBE.

## Properties
The value obtained for the magnetization is 0.00 Bohr magnetons per cell. Its energy is -5.33 eV per atom. The energy above the most stable polymorph in this dataset is 0 meV per atom. For the energy relative to the elements, the calculation gives -504.8 meV/atom. The calculation puts the density of states at the Fermi level at 18.05 states/eV/cell.

Cell lengths 9.8514, 9.8514, 9.8514 Å; angles 60.00, 60.00, 60.00 degrees
Sites, in units of the cell vectors:
In (0.1683, 0.1683, 0.4951)
In (0.4951, 0.1683, 0.1683)
In (0.1683, 0.4951, 0.1683)
In (0.1683, 0.1683, 0.1683)
Rh (0.6080, 0.6080, 0.1759)
Rh (0.6080, 0.1759, 0.6080)
Rh (0.6080, 0.6080, 0.6080)
Rh (0.1759, 0.6080, 0.6080)
Sm (0.7980, 0.4007, 0.4007)
Sm (0.8118, 0.1882, 0.1882)
Sm (0.4007, 0.4007, 0.7980)
Sm (0.5588, 0.9412, 0.9412)
Sm (0.5588, 0.9412, 0.5588)
Sm (0.5588, 0.5588, 0.9412)
Sm (0.9412, 0.5588, 0.5588)
Sm (0.1882, 0.8118, 0.1882)
Sm (0.8118, 0.1882, 0.8118)
Sm (0.1882, 0.8118, 0.8118)
Sm (0.9412, 0.5588, 0.9412)
Sm (0.9412, 0.9412, 0.5588)
Sm (0.4007, 0.4007, 0.4007)
Sm (0.1882, 0.1882, 0.8118)
Sm (0.8118, 0.8118, 0.1882)
Sm (0.4007, 0.7980, 0.4007)

Entry 2:
This record from Alexandria via LeMat-Bulk describes an optimized crystal structure of Sm6InRh3. The functional is PBE.

## Properties
The value obtained for the magnetization is 0.00 Bohr magnetons per cell. Its energy is -5.82 eV per atom. For the energy relative to the elements, the calculation gives -512.0 meV/atom. The calculation puts the density of states at the Fermi level at 14.99 states/eV/cell.

Cell lengths 4.5948, 10.7550, 12.0417 Å; angles 112.24, 90.00, 90.00 degrees
Sites, in units of the cell vectors:
Sm (0.2500, 0.5963, 0.9343)
Sm (0.2500, 0.1228, 0.9011)
Sm (0.2500, 0.5204, 0.3884)
Sm (0.7500, 0.8772, 0.0989)
Sm (0.2500, 0.2747, 0.6909)
Sm (0.7500, 0.4037, 0.0657)
Sm (0.2500, 0.8707, 0.5675)
Sm (0.7500, 0.7253, 0.3091)
Sm (0.7500, 0.8338, 0.8014)
Sm (0.7500, 0.1293, 0.4325)
Sm (0.7500, 0.4796, 0.6116)
Sm (0.2500, 0.1662, 0.1986)
Rh (0.7500, 0.6886, 0.5264)
Rh (0.7500, 0.4154, 0.8257)
Rh (0.2500, 0.3114, 0.4736)
Rh (0.2500, 0.5846, 0.1743)
Rh (0.2500, 0.8893, 0.9588)
Rh (0.7500, 0.1107, 0.0412)
In (0.2500, 0.9171, 0.2972)
In (0.7500, 0.0829, 0.7028)

Entry 3:
This record from Alexandria via LeMat-Bulk describes an optimized crystal structure of Sm2InRh3. The functional is PBE.

## Properties
The value obtained for the magnetization is 0.00 Bohr magnetons per cell. Its energy is -6.12 eV per atom. For the energy relative to the elements, the calculation gives -417.2 meV/atom. The calculation puts the density of states at the Fermi level at 3.58 states/eV/cell.

Cell lengths 4.6758, 5.5104, 6.1638 Å; angles 116.55, 112.29, 90.00 degrees
Sites, in units of the cell vectors:
Sm (0.3208, 0.8208, 0.6415)
Sm (0.6792, 0.1792, 0.3585)
In (0.0000, 0.5000, 0.0000)
Rh (0.0000, 0.0000, 0.0000)
Rh (0.3601, 0.3601, 0.7201)
Rh (0.6399, 0.6399, 0.2799)

energy of number 1 (Sm4InRh)? -5.33 eV per atom